NiBi4Au PBE optimized geometry; theoretical density = 11.5 Mg/m³; E above lowest polymorph = 0.00 eV per formula unit; space-group type = C2/c (15); M_tot = 0.00 Bohr magnetons per cell; final energy = -48.8 eV per cell; crystal system = monoclinic
1.0
6.045 -0.126 0.000
-1.679 7.767 0.000
-2.183 -3.820 6.756
Bi Au Ni
8 2 2
Direct
0.798 0.711 0.650 Bi
0.960 0.774 0.117 Bi
0.657 0.343 0.117 Bi
0.649 0.061 0.350 Bi
0.351 0.939 0.650 Bi
0.040 0.226 0.883 Bi
0.343 0.657 0.883 Bi
0.202 0.289 0.350 Bi
0.612 0.362 0.723 Au
0.388 0.638 0.277 Au
0.733 0.983 0.966 Ni
0.267 0.017 0.034 Ni


K3PaGe2Te6 PBE optimized geometry; theoretical density = 5.0 Mg/m³; space-group type = C2/m (12); M_tot = 0.00 Bohr magnetons per cell; final energy = -49.6 eV per cell; crystal system = monoclinic
1.0
7.770 -0.001 0.001
-3.883 6.729 0.001
-1.295 -2.242 8.077
Te Ge K Pa
6 2 3 1
Direct
0.934 0.604 0.802 Te
0.604 0.934 0.802 Te
0.264 0.264 0.802 Te
0.736 0.736 0.198 Te
0.396 0.066 0.198 Te
0.066 0.396 0.198 Te
0.334 0.666 0.000 Ge
0.666 0.334 0.000 Ge
0.169 0.831 0.500 K
0.831 0.169 0.500 K
0.500 0.500 0.500 K
0.000 0.000 0.000 Pa


Ho5InFe2 PBE optimized geometry; theoretical density = 8.9 Mg/m³; space-group type = I4/mcm (140); M_tot = 0.21 Bohr magnetons per cell; final energy = -87.3 eV per cell; crystal system = tetragonal
1.0
6.681 0.000 -3.154
-1.489 6.513 -3.154
0.114 0.143 8.896
Ho Fe In
10 4 2
Direct
0.545 0.693 0.737 Ho
0.000 0.000 0.000 Ho
0.193 0.045 0.737 Ho
0.955 0.455 0.263 Ho
0.307 0.807 0.263 Ho
0.807 0.955 0.263 Ho
0.500 0.500 0.000 Ho
0.045 0.545 0.737 Ho
0.693 0.193 0.737 Ho
0.455 0.307 0.263 Ho
0.606 0.106 0.000 Fe
0.894 0.606 0.000 Fe
0.106 0.394 0.000 Fe
0.394 0.894 0.000 Fe
0.250 0.250 0.500 In
0.750 0.750 0.500 In


K2Rb12Na7 PBE optimized geometry; theoretical density = 1.4 Mg/m³; space-group type = P-3 (147); M_tot = 0.00 Bohr magnetons per cell; final energy = -22.2 eV per cell; crystal system = trigonal
1.0
-1.009 -1.522 -4.311
-1.322 -17.774 6.582
-15.365 11.170 -0.347
K Na Rb
2 7 12
Direct
0.765 0.667 0.333 K
0.235 0.333 0.667 K
0.726 0.156 0.690 Na
0.274 0.844 0.310 Na
0.274 0.466 0.156 Na
0.726 0.310 0.466 Na
0.500 0.000 0.000 Na
0.274 0.690 0.534 Na
0.726 0.534 0.844 Na
0.773 0.894 0.149 Rb
0.227 0.745 0.894 Rb
0.760 0.367 0.924 Rb
0.760 0.557 0.633 Rb
0.240 0.443 0.367 Rb
0.227 0.149 0.255 Rb
0.773 0.255 0.106 Rb
0.240 0.924 0.557 Rb
0.227 0.106 0.851 Rb
0.773 0.851 0.745 Rb
0.240 0.633 0.076 Rb
0.760 0.076 0.443 Rb


Ba2UO4 PBE optimized geometry; theoretical density = 7.3 Mg/m³; space-group type = Pbam (55); M_tot = 4.01 Bohr magnetons per cell; final energy = -110.7 eV per cell; crystal system = orthorhombic
1.0
-2.756 0.104 2.464
-4.234 -2.066 -4.649
2.030 -10.243 2.702
U Ba O
2 4 8
Direct
0.000 0.000 0.500 U
0.000 0.500 0.000 U
0.500 0.558 0.325 Ba
0.500 0.442 0.675 Ba
0.500 0.058 0.175 Ba
0.500 0.942 0.825 Ba
0.500 0.191 0.445 O
0.500 0.309 0.945 O
0.000 0.636 0.821 O
0.000 0.136 0.679 O
0.000 0.364 0.179 O
0.500 0.809 0.555 O
0.000 0.864 0.321 O
0.500 0.691 0.055 O


NaMg2ZnCu PBE optimized geometry; theoretical density = 2.9 Mg/m³; space-group type = P4/mmm (123); M_tot = 0.00 Bohr magnetons per cell; final energy = -9.4 eV per cell; crystal system = tetragonal
1.0
-4.178 -1.549 -2.213
2.701 -2.317 -3.478
0.050 -3.899 2.636
Na Mg Zn Cu
1 2 1 1
Direct
0.500 0.500 0.500 Na
0.500 0.000 0.000 Mg
0.000 0.500 0.000 Mg
0.000 0.000 0.500 Zn
0.000 0.000 0.000 Cu


BeRe2Au PBE optimized geometry; theoretical density = 16.8 Mg/m³; space-group type = Immm (71); M_tot = 0.00 Bohr magnetons per cell; final energy = -30.9 eV per cell; crystal system = orthorhombic
1.0
-2.424 -4.101 -2.688
-2.206 -5.004 -0.096
-4.271 0.038 0.372
Re Au Be
2 1 1
Direct
0.458 0.458 0.543 Re
0.042 0.042 0.957 Re
0.250 0.250 0.250 Au
0.750 0.750 0.750 Be


LaHg2 PBE optimized geometry; theoretical density = 9.5 Mg/m³; space-group type = I4/mcm (140); M_tot = 0.00 Bohr magnetons per cell; final energy = -12.4 eV per cell; crystal system = tetragonal
1.0
-3.554 3.554 3.728
3.554 -3.554 3.728
3.554 3.554 -3.728
Hg La
4 2
Direct
0.145 0.355 0.500 Hg
0.645 0.145 0.790 Hg
0.355 0.855 0.210 Hg
0.855 0.645 0.500 Hg
0.750 0.750 0.000 La
0.250 0.250 0.000 La


HfAsPd PBE optimized geometry; theoretical density = 11.4 Mg/m³; space-group type = Pmmn (59); M_tot = 0.00 Bohr magnetons per cell; final energy = -44.1 eV per cell; crystal system = orthorhombic
1.0
-3.679 0.938 -0.697
-0.075 -4.375 -5.489
-1.174 -2.884 2.315
Pd As Hf
2 2 2
Direct
0.000 0.034 0.500 Pd
0.500 0.966 0.000 Pd
0.000 0.731 0.000 As
0.500 0.269 0.500 As
0.000 0.347 0.000 Hf
0.500 0.653 0.500 Hf


Er3Ga8Rh3 PBE optimized geometry; theoretical density = 9.0 Mg/m³; E above lowest polymorph = 0.04 eV per formula unit; space-group type = Immm (71); M_tot = 0.00 Bohr magnetons per cell; final energy = -69.9 eV per cell; crystal system = orthorhombic
1.0
-2.144 -4.587 6.376
3.957 -6.816 -2.042
0.086 7.694 2.661
Rh Ga Er
3 8 3
Direct
0.224 0.000 0.224 Rh
0.776 0.000 0.776 Rh
0.000 0.500 0.500 Rh
0.094 0.377 0.717 Ga
0.801 0.171 0.630 Ga
0.340 0.623 0.717 Ga
0.199 0.829 0.370 Ga
0.660 0.377 0.283 Ga
0.541 0.171 0.370 Ga
0.459 0.829 0.630 Ga
0.906 0.623 0.283 Ga
0.831 0.831 0.000 Er
0.169 0.169 0.000 Er
0.500 0.500 0.000 Er


Ga2MoRh PBE optimized geometry; theoretical density = 8.6 Mg/m³; E above lowest polymorph = 1.67 eV per formula unit; space-group type = I-42d (122); M_tot = 0.00 Bohr magnetons per cell; final energy = -47.2 eV per cell; crystal system = tetragonal
1.0
-1.909 -6.247 2.075
6.583 -1.821 0.573
2.349 -3.164 3.953
Ga Rh Mo
4 2 2
Direct
0.109 0.625 0.250 Ga
0.875 0.891 0.750 Ga
0.641 0.125 0.250 Ga
0.375 0.359 0.750 Ga
0.000 0.000 0.000 Rh
0.750 0.250 0.500 Rh
0.500 0.500 0.000 Mo
0.250 0.750 0.500 Mo


NdYIr4 PBE optimized geometry; theoretical density = 14.9 Mg/m³; space-group type = F-43m (216); M_tot = 0.00 Bohr magnetons per cell; final energy = -51.1 eV per cell; crystal system = cubic
1.0
5.405 0.000 0.000
2.703 4.681 0.000
2.703 1.560 4.413
Ir Nd Y
4 1 1
Direct
0.625 0.625 0.125 Ir
0.625 0.125 0.625 Ir
0.625 0.625 0.625 Ir
0.125 0.625 0.625 Ir
0.000 0.000 0.000 Nd
0.250 0.250 0.250 Y


Ho8BiC4 PBE optimized geometry; theoretical density = 8.3 Mg/m³; E above lowest polymorph = 2.18 eV per formula unit; space-group type = F-43m (216); M_tot = 0.00 Bohr magnetons per cell; final energy = -79.8 eV per cell; crystal system = cubic
1.0
-2.305 -7.203 -1.182
2.291 -3.775 -6.253
4.994 -5.768 0.626
Ho Bi C
8 1 4
Direct
0.601 0.198 0.601 Ho
0.140 0.579 0.140 Ho
0.601 0.601 0.601 Ho
0.579 0.140 0.140 Ho
0.198 0.601 0.601 Ho
0.140 0.140 0.140 Ho
0.140 0.140 0.579 Ho
0.601 0.601 0.198 Ho
0.750 0.750 0.750 Bi
0.371 0.371 0.886 C
0.371 0.886 0.371 C
0.886 0.371 0.371 C
0.371 0.371 0.371 C


CuTcP PBE optimized geometry; theoretical density = 7.9 Mg/m³; E above lowest polymorph = 0.11 eV per formula unit; space-group type = Cm (8); M_tot = 0.00 Bohr magnetons per cell; final energy = -82.3 eV per cell; crystal system = monoclinic
1.0
-2.646 1.246 -5.663
-2.780 -0.696 1.146
-0.497 7.619 3.424
P Tc Cu
4 4 4
Direct
0.413 0.500 0.095 P
0.791 0.000 0.935 P
0.791 0.500 0.435 P
0.413 0.000 0.595 P
0.698 0.000 0.210 Tc
0.698 0.500 0.710 Tc
0.410 0.500 0.378 Tc
0.410 0.000 0.878 Tc
0.130 0.000 0.144 Cu
0.064 0.000 0.413 Cu
0.064 0.500 0.913 Cu
0.130 0.500 0.644 Cu


Na2CePaTe4 PBE optimized geometry; theoretical density = 5.9 Mg/m³; space-group type = P2/m (10); M_tot = 3.00 Bohr magnetons per cell; final energy = -39.0 eV per cell; crystal system = monoclinic
1.0
4.431 0.000 0.000
0.000 7.744 0.156
0.000 -2.691 7.614
Te Na Pa Ce
4 2 1 1
Direct
0.000 0.260 0.761 Te
0.000 0.740 0.239 Te
0.500 0.746 0.759 Te
0.500 0.254 0.241 Te
0.000 0.500 0.500 Na
0.500 0.000 0.500 Na
0.500 0.500 0.000 Pa
0.000 0.000 0.000 Ce


Tl3HI3 PBE optimized geometry; theoretical density = 6.1 Mg/m³; space-group type = C2/m (12); M_tot = 0.00 Bohr magnetons per cell; final energy = -34.4 eV per cell; crystal system = monoclinic
1.0
8.237 -0.436 -0.548
-2.575 7.837 -0.548
-0.105 -0.137 8.580
I H Tl
6 2 6
Direct
0.613 0.613 0.374 I
0.829 0.171 0.500 I
0.765 0.235 0.000 I
0.235 0.765 0.000 I
0.387 0.387 0.626 I
0.171 0.829 0.500 I
0.767 0.767 0.230 H
0.233 0.233 0.770 H
0.467 0.146 0.269 Tl
0.146 0.467 0.269 Tl
0.981 0.981 0.203 Tl
0.019 0.019 0.797 Tl
0.533 0.854 0.731 Tl
0.854 0.533 0.731 Tl


TaSeO2F PBE optimized geometry; theoretical density = 7.5 Mg/m³; space-group type = P4/mmm (123); M_tot = 2.09 Bohr magnetons per cell; final energy = -34.8 eV per cell; crystal system = tetragonal
1.0
3.996 0.000 0.000
0.000 3.996 0.000
0.000 0.000 4.328
Se Ta O F
1 1 2 1
Direct
0.500 0.500 0.500 Se
0.000 0.000 0.000 Ta
0.000 0.500 0.000 O
0.500 0.000 0.000 O
0.000 0.000 0.500 F


CaAsSe PBE optimized geometry; theoretical density = 3.9 Mg/m³; space-group type = F-43m (216); M_tot = 0.00 Bohr magnetons per cell; final energy = -11.4 eV per cell; crystal system = cubic
1.0
4.876 0.000 0.000
2.438 4.222 0.000
2.438 1.407 3.981
Ca As Se
1 1 1
Direct
0.000 0.000 0.000 Ca
0.750 0.750 0.750 As
0.500 0.500 0.500 Se


Tl2CuBi PBE optimized geometry; theoretical density = 10.4 Mg/m³; E above lowest polymorph = 0.00 eV per formula unit; space-group type = Fm-3m (225); M_tot = 0.00 Bohr magnetons per cell; final energy = -11.4 eV per cell; crystal system = cubic
1.0
0.000 3.783 3.783
3.783 0.000 3.783
3.783 3.783 0.000
Tl Bi Cu
2 1 1
Direct
0.750 0.750 0.750 Tl
0.250 0.250 0.250 Tl
0.500 0.500 0.500 Bi
0.000 0.000 0.000 Cu


BaZn2Cd2Au PBE optimized geometry; theoretical density = 6.6 Mg/m³; space-group type = I4/mmm (139); M_tot = 0.00 Bohr magnetons per cell; final energy = -10.6 eV per cell; crystal system = tetragonal
1.0
4.681 0.000 0.000
0.000 4.681 0.000
-2.341 -2.341 7.871
Zn Ba Cd Au
2 1 2 1
Direct
0.158 0.158 0.317 Zn
0.842 0.842 0.683 Zn
0.500 0.500 0.000 Ba
0.250 0.750 0.500 Cd
0.750 0.250 0.500 Cd
0.000 0.000 0.000 Au